Record 1
{
  "formula": "Y4HgN",
  "functional": "GGA-PBE",
  "state": "relaxed",
  "cell": [[4.5512, -4.7537, 0.0000], [4.5512, 4.7537, 0.0000], [0.0000, 0.0000, 3.7304]],
  "species": ["Hg", "N", "Y", "Y", "Y", "Y"],
  "fractional_positions": [[0.5000, 0.5000, 0.0000], [0.0000, 0.0000, 0.5000], [0.1752, 0.1752, 0.0000], [0.8248, 0.8248, 0.0000], [0.7520, 0.2480, 0.5000], [0.2480, 0.7520, 0.5000]],
  "total_magnetization_mub_per_fu": 0.10,
  "crystal_system": "orthorhombic",
  "final_energy_ev_per_atom": -6.259
}

---

Record 2
{
  "formula": "GdNi3",
  "functional": "GGA-PBE",
  "state": "relaxed",
  "cell": [[-8.5323, -1.0389, -0.7375], [-7.7582, 1.4762, 3.4720], [-7.6701, 3.8476, -0.8884]],
  "species": ["Gd", "Gd", "Gd", "Ni", "Ni", "Ni", "Ni", "Ni", "Ni", "Ni", "Ni", "Ni"],
  "fractional_positions": [[0.0000, 0.0000, 0.0000], [0.1391, 0.1391, 0.1391], [0.8609, 0.8609, 0.8609], [0.5816, 0.5816, 0.0815], [0.3329, 0.3329, 0.3329], [0.9185, 0.4184, 0.4184], [0.4184, 0.9185, 0.4184], [0.5000, 0.5000, 0.5000], [0.5816, 0.0815, 0.5816], [0.0815, 0.5816, 0.5816], [0.6671, 0.6671, 0.6671], [0.4184, 0.4184, 0.9185]],
  "total_magnetization_mub_per_fu": 0.22,
  "crystal_system": "trigonal",
  "final_energy_ev_per_atom": -5.733,
  "formation_energy_ev_per_atom": -0.39
}

---

Record 3
{
  "formula": "BaSrTh",
  "functional": "GGA-PBE",
  "state": "relaxed",
  "cell": [[5.3745, -2.0934, 0.8986], [1.1800, -3.0277, 4.8493], [0.9846, -5.7452, -0.3132]],
  "species": ["Ba", "Sr", "Th"],
  "fractional_positions": [[0.0000, 0.0000, 0.0000], [0.2500, 0.2500, 0.2500], [0.7500, 0.7500, 0.7500]],
  "total_magnetization_mub_per_fu": 0.05,
  "crystal_system": "cubic",
  "de_polymorph_ev_per_fu": 0.00,
  "final_energy_ev_per_atom": -2.588
}

---

Record 4
{
  "formula": "Li4ZnNiPd2",
  "functional": "GGA-PBE",
  "state": "relaxed",
  "cell": [[4.2193, 0.0000, 0.0000], [0.0000, 4.2193, 0.0000], [0.0000, 0.0000, 6.0371]],
  "species": ["Li", "Li", "Li", "Li", "Ni", "Pd", "Pd", "Zn"],
  "fractional_positions": [[0.5000, 0.5000, 0.0000], [0.5000, 0.0000, 0.2398], [0.0000, 0.0000, 0.5000], [0.0000, 0.5000, 0.7602], [0.0000, 0.0000, 0.0000], [0.0000, 0.5000, 0.2454], [0.5000, 0.0000, 0.7546], [0.5000, 0.5000, 0.5000]],
  "total_magnetization_mub_per_fu": 0.01,
  "crystal_system": "tetragonal",
  "final_energy_ev_per_atom": -3.427
}

---

Record 5
{
  "formula": "TbReNi",
  "functional": "GGA-PBE",
  "state": "relaxed",
  "cell": [[-3.7680, -0.1454, 2.1765], [-3.6565, -1.1699, -2.0536], [-1.8588, -3.8374, 0.8803]],
  "species": ["Ni", "Re", "Tb"],
  "fractional_positions": [[0.0000, 0.0000, 0.0000], [0.2500, 0.2500, 0.2500], [0.7500, 0.7500, 0.7500]],
  "total_magnetization_mub_per_fu": 1.58,
  "crystal_system": "cubic",
  "final_energy_ev_per_atom": -6.964,
  "formation_energy_ev_per_atom": 0.58
}

---

Record 6
{
  "formula": "YErGa4Ag2",
  "functional": "GGA-PBE",
  "state": "relaxed",
  "cell": [[6.6277, 0.0000, 0.0000], [0.0000, 2.2616, 5.2367], [0.0000, -2.2616, 5.2367]],
  "species": ["Ag", "Ag", "Er", "Ga", "Ga", "Ga", "Ga", "Y"],
  "fractional_positions": [[0.5000, 0.2998, 0.2998], [0.0000, 0.7002, 0.7002], [0.0000, 0.4072, 0.4072], [0.1984, 0.1181, 0.1181], [0.8016, 0.1181, 0.1181], [0.2998, 0.8822, 0.8822], [0.7002, 0.8822, 0.8822], [0.5000, 0.5920, 0.5920]],
  "total_magnetization_mub_per_fu": 0.00,
  "crystal_system": "orthorhombic",
  "final_energy_ev_per_atom": -4.070
}